Record 1
The following is a DFT calculation (PBE) of SmMgSn6 after structural relaxation.

Cell: 4.542 6.786 6.786 Å, 90.00 90.00 90.00°
Element x y z (fractional)
Sm: 0.500 0.500 0.500
Mg: 0.500 0.000 0.000
Sn: 0.000 0.764 0.236
Sn: 0.000 0.236 0.764
Sn: 0.000 0.764 0.764
Sn: 0.000 0.236 0.236
Sn: 0.500 0.500 0.000
Sn: 0.500 0.000 0.500

Summary:
- Formation enthalpy at 0 K: -260 meV per atom
- Distance to the lowest polymorph of the same formula: 0.0 meV per atom
- Symmetry: P4/mmm
- Total magnetization: 0.000 μB per formula unit

Record 2
The following is a DFT calculation (PBE) of Sm4Mg5Sn6 after structural relaxation.

Cell: 4.704 10.679 16.634 Å, 90.00 90.00 102.72°
Element x y z (fractional)
Sm: 0.966 0.932 0.267
Sm: 0.034 0.068 0.767
Sm: 0.162 0.324 0.302
Sm: 0.838 0.676 0.802
Sm: 0.826 0.653 0.443
Sm: 0.174 0.347 0.943
Sm: 0.017 0.034 0.501
Sm: 0.983 0.966 0.001
Mg: 0.440 0.880 0.680
Mg: 0.560 0.120 0.180
Mg: 0.155 0.311 0.626
Mg: 0.845 0.689 0.126
Mg: 0.652 0.304 0.483
Mg: 0.348 0.696 0.983
Mg: 0.304 0.609 0.620
Mg: 0.696 0.391 0.120
Mg: 0.341 0.681 0.273
Mg: 0.659 0.319 0.773
Sn: 0.764 0.528 0.269
Sn: 0.429 0.858 0.413
Sn: 0.772 0.544 0.976
Sn: 0.228 0.456 0.476
Sn: 0.441 0.882 0.854
Sn: 0.559 0.118 0.354
Sn: 0.430 0.859 0.130
Sn: 0.570 0.141 0.630
Sn: 0.111 0.221 0.117
Sn: 0.889 0.779 0.617
Sn: 0.571 0.142 0.913
Sn: 0.236 0.472 0.769

Summary:
- Formation enthalpy at 0 K: -522 meV per atom
- Symmetry: Cmc2_1
- Total magnetization: 0.000 μB per formula unit